# CrTcCl, optimized geometry, DFT PBE-GGA
# Energy relative to the elements, uncorrected ... 0.57 eV per formula unit
# Mass density ... 6.30 g/cm³
data_CrTcCl
_space_group_name_H-M_alt 'P 1'
_space_group_IT_number 1
_cell_length_a 3.139
_cell_length_b 3.139
_cell_length_c 5.727
_cell_angle_alpha 90.00
_cell_angle_beta 90.00
_cell_angle_gamma 120.00
loop_
_space_group_symop_operation_xyz
'x,y,z'
loop_
_atom_site_label
_atom_site_type_symbol
_atom_site_fract_x
_atom_site_fract_y
_atom_site_fract_z
Cr1 Cr 0.667 0.333 0.363
Tc1 Tc 0.333 0.667 0.609
Cl1 Cl 0.000 0.000 0.028